(1)
First-principles (PBE) data for crystalline LiPPdCl2 at its relaxed geometry, as listed in the Alexandria database.

Cell lengths 4.430, 4.430, 4.932 Å; angles 90.00, 90.00, 90.00 degrees
Site moments in Bohr magnetons follow the coordinates.
Sites, in units of the cell vectors:
Cl 0.000 0.500 0.000  0.11
Cl 0.500 0.000 0.000  0.11
Pd 0.500 0.500 0.500  0.17
P 0.000 0.000 0.500  0.54
Li 0.000 0.000 0.000  0.03

Results
The total energy comes out at -2.98 eV/atom. The value obtained for the density of states at the Fermi level is 3.75 states/eV per cell. For the energy relative to the lowest polymorph listed for this composition, the calculation gives 0.4874 eV/atom. The volume comes out at 19.360 Å³/atom.

(2)
First-principles (PBE) data for crystalline LiPPtCl2 at its relaxed geometry, as listed in the Alexandria database.

Cell lengths 4.832, 5.272, 4.832 Å; angles 90.00, 90.00, 90.00 degrees
Site moments in Bohr magnetons follow the coordinates.
Sites, in units of the cell vectors:
Li 0.000 0.500 0.000  0.01
P 0.500 0.500 0.500  1.13
Cl 0.500 0.000 0.000  0.07
Cl 0.000 0.000 0.500  0.10
Pt 0.000 0.000 0.000  -0.01

Results
The total energy comes out at -3.09 eV/atom. The value obtained for the density of states at the Fermi level is 1.46 states/eV per cell. For the energy relative to the lowest polymorph listed for this composition, the calculation gives 0.5475 eV/atom. The volume comes out at 24.615 Å³/atom.

(3)
First-principles (PBE) data for crystalline LiPPtCl2 at its relaxed geometry, as listed in the Alexandria database.

Cell lengths 3.960, 3.960, 8.448 Å; angles 90.00, 90.00, 90.00 degrees
Sites, in units of the cell vectors:
Cl 0.500 0.000 0.000
Cl 0.000 0.500 0.000
Pt 0.500 0.500 0.500
Li 0.000 0.000 0.000
P 0.000 0.000 0.500

Results
The total energy comes out at -3.06 eV/atom. The value obtained for the density of states at the Fermi level is 3.47 states/eV per cell. For the energy relative to the lowest polymorph listed for this composition, the calculation gives 0.5775 eV/atom. The volume comes out at 26.497 Å³/atom.

(4)
First-principles (PBE) data for crystalline LiPPtCl2 at its relaxed geometry, as listed in the Alexandria database.

Cell lengths 5.284, 5.284, 4.438 Å; angles 90.00, 90.00, 90.00 degrees
Site moments in Bohr magnetons follow the coordinates.
Sites, in units of the cell vectors:
Pt 0.000 0.000 0.000  0.04
Li 0.500 0.500 0.500  0.00
P 0.000 0.000 0.500  0.13
Cl 0.500 0.000 0.000  0.02
Cl 0.000 0.500 0.000  0.02

Results
The total energy comes out at -3.64 eV/atom. The value obtained for the density of states at the Fermi level is 2.88 states/eV per cell. For the energy relative to the lowest polymorph listed for this composition, the calculation gives 0.0000 eV/atom. The volume comes out at 24.787 Å³/atom.

Question: What is the energy relative to the lowest polymorph listed for this composition in the first record?
Answer: 0.4874 eV/atom

Question: Which value of energy relative to the lowest polymorph listed for this composition does entry 2 give?
Answer: 0.5475 eV/atom